Entry from Alexandria via LeMat-Bulk: an optimized crystal structure of ZrTcPPd2 (PBE).

```
5
Lattice="4.893 0.000 0.000 0.000 4.893 0.000 0.000 0.000 4.819" Properties=species:S:1:pos:R:3 pbc="T T T"
Zr 0.000 0.000 0.000
Tc 0.000 0.000 2.410
P 2.447 2.447 2.410
Pd 0.000 2.447 0.000
Pd 2.447 0.000 0.000
```

Output
Formation energy = 1370 meV/atom
Magnetic moment = 1.8 μB/f.u.